Entry 1:
Material: ThScFeCu
Method: DFT, GGA-PBE
State: relaxed

a = 4.787 Å, b = 4.787 Å, c = 4.787 Å
α = 60.00°, β = 60.00°, γ = 60.00°
Positions (direct):
1 Sc 0.500 0.500 0.500
2 Cu 0.250 0.250 0.250
3 Th 0.000 0.000 0.000
4 Fe 0.750 0.750 0.750

* final energy: -6.636 eV per atom
* crystal system: cubic
* DOS(E_F): 2.72 states/eV/cell
* energy of formation: -0.059 eV per atom
* calculated volume: 78 Å³/cell

***

Entry 2:
Material: Rb2PbCl
Method: DFT, GGA-PBE
State: relaxed

a = 3.826 Å, b = 3.826 Å, c = 10.033 Å
α = 90.00°, β = 90.00°, γ = 90.00°
Positions (direct):
1 Pb 0.500 0.500 0.500
2 Rb 0.000 0.000 0.800
3 Rb 0.000 0.000 0.200
4 Cl 0.500 0.500 0.000

* final energy: -2.767 eV per atom
* crystal system: tetragonal
* formation energy from raw total energies: -895 meV/atom
* DOS(E_F): 2.03 states/eV/cell
* offset from the most stable computed form: 0.00 eV/f.u.
* calculated volume: 147 Å³/cell

***

Entry 3:
Material: ErScCoCu
Method: DFT, GGA-PBE
State: relaxed

a = 4.643 Å, b = 4.643 Å, c = 4.643 Å
α = 60.00°, β = 60.00°, γ = 60.00°
Positions (direct):
1 Sc 0.500 0.500 0.500
2 Co 0.750 0.750 0.750
3 Cu 0.250 0.250 0.250
4 Er 0.000 0.000 0.000

* final energy: -5.771 eV per atom
* crystal system: cubic
* DOS(E_F): 4.02 states/eV/cell
* offset from the most stable computed form: 0.08 eV/f.u.
* energy of formation: -0.247 eV per atom
* calculated volume: 71 Å³/cell

***

Entry 4:
Material: CrC5
Method: DFT, GGA-PBE
State: relaxed

a = 6.487 Å, b = 6.487 Å, c = 4.336 Å
α = 60.81°, β = 60.81°, γ = 22.23°
Positions (direct):
1 Cr 0.211 0.211 0.011
2 C 0.947 0.947 0.991
3 C 0.509 0.509 0.930
4 C 0.703 0.703 0.383
5 C 0.643 0.643 0.769
6 C 0.820 0.820 0.083

* final energy: -8.640 eV per atom
* crystal system: monoclinic
* DOS(E_F): 2.01 states/eV/cell
* offset from the most stable computed form: 0.51 eV/f.u.
* energy of formation: 0.651 eV per atom
* calculated volume: 60 Å³/cell

***

Entry 5:
Material: CsZn2CdPd
Method: DFT, GGA-PBE
State: relaxed

a = 5.089 Å, b = 5.089 Å, c = 5.401 Å
α = 90.00°, β = 90.00°, γ = 90.00°
Positions (direct):
1 Cs 0.500 0.500 0.500
2 Zn 0.000 0.500 0.000
3 Zn 0.500 0.000 0.000
4 Pd 0.000 0.000 0.000
5 Cd 0.000 0.000 0.500

* final energy: -2.034 eV per atom
* crystal system: tetragonal
* DOS(E_F): 1.88 states/eV/cell
* energy of formation: -0.132 eV per atom
* calculated volume: 140 Å³/cell

***

Entry 6:
Material: LiTiBr2
Method: DFT, GGA-PBE
State: relaxed

a = 9.220 Å, b = 9.220 Å, c = 9.220 Å
α = 21.73°, β = 21.73°, γ = 21.73°
Positions (direct):
1 Li 0.000 0.000 0.000
2 Br 0.897 0.897 0.897
3 Br 0.103 0.103 0.103
4 Ti 0.500 0.500 0.500

* final energy: -3.949 eV per atom
* crystal system: trigonal
* formation energy from raw total energies: -661 meV/atom
* DOS(E_F): 3.29 states/eV/cell
* offset from the most stable computed form: 0.10 eV/f.u.
* calculated volume: 94 Å³/cell

***

Entry 7:
Material: LaNi2Ir
Method: DFT, GGA-PBE
State: relaxed

a = 9.281 Å, b = 9.281 Å, c = 9.281 Å
α = 17.84°, β = 17.84°, γ = 17.84°
Positions (direct):
1 Ir 0.250 0.250 0.250
2 La 0.750 0.750 0.750
3 Ni 0.988 0.988 0.988
4 Ni 0.512 0.512 0.512

* final energy: -5.805 eV per atom
* crystal system: trigonal
* DOS(E_F): 7.31 states/eV/cell
* energy of formation: 0.533 eV per atom
* calculated volume: 66 Å³/cell

***

Entry 8:
Material: Dy19Y4Er6
Method: DFT, GGA-PBE
State: relaxed

a = 10.772 Å, b = 10.772 Å, c = 10.772 Å
α = 109.47°, β = 109.47°, γ = 109.47°
Positions (direct):
1 Dy 0.737 0.000 0.737
2 Dy 0.263 0.000 0.263
3 Dy 0.263 0.263 0.000
4 Dy 0.737 0.737 0.000
5 Dy 0.000 0.737 0.737
6 Dy 0.000 0.263 0.263
7 Dy 0.000 0.000 0.000
8 Dy 0.199 0.213 0.539
9 Dy 0.801 0.340 0.014
10 Dy 0.674 0.660 0.461
11 Dy 0.014 0.801 0.340
12 Dy 0.326 0.787 0.986
13 Dy 0.539 0.199 0.213
14 Dy 0.986 0.326 0.787
15 Dy 0.461 0.674 0.660
16 Dy 0.787 0.986 0.326
17 Dy 0.340 0.014 0.801
18 Dy 0.213 0.539 0.199
19 Dy 0.660 0.461 0.674
20 Y 0.000 0.000 0.643
21 Y 0.000 0.643 0.000
22 Y 0.357 0.357 0.357
23 Y 0.643 0.000 0.000
24 Er 0.372 0.500 0.872
25 Er 0.628 0.500 0.128
26 Er 0.128 0.628 0.500
27 Er 0.872 0.372 0.500
28 Er 0.500 0.872 0.372
29 Er 0.500 0.128 0.628

* final energy: -4.451 eV per atom
* crystal system: cubic
* DOS(E_F): 47.36 states/eV/cell
* energy of formation: 0.400 eV per atom
* calculated volume: 962 Å³/cell

***

Entry 9:
Material: Dy2Be2GaNi5
Method: DFT, GGA-PBE
State: relaxed

a = 3.327 Å, b = 9.031 Å, c = 9.031 Å
α = 90.00°, β = 90.00°, γ = 90.00°
Positions (direct):
1 Dy 0.000 0.682 0.182
2 Dy 0.000 0.318 0.818
3 Dy 0.000 0.182 0.318
4 Dy 0.000 0.818 0.682
5 Be 0.000 0.112 0.612
6 Be 0.000 0.888 0.388
7 Be 0.000 0.612 0.888
8 Be 0.000 0.388 0.112
9 Ga 0.000 0.000 0.000
10 Ga 0.000 0.500 0.500
11 Ni 0.500 0.221 0.064
12 Ni 0.500 0.779 0.936
13 Ni 0.500 0.064 0.779
14 Ni 0.500 0.721 0.436
15 Ni 0.500 0.936 0.221
16 Ni 0.500 0.279 0.564
17 Ni 0.500 0.564 0.721
18 Ni 0.500 0.436 0.279
19 Ni 0.500 0.500 0.000
20 Ni 0.500 0.000 0.500

* final energy: -5.266 eV per atom
* crystal system: tetragonal
* DOS(E_F): 11.44 states/eV/cell
* energy of formation: -0.407 eV per atom
* calculated volume: 271 Å³/cell

***

Entry 10:
Material: SrCoAsSe2
Method: DFT, GGA-PBE
State: relaxed

a = 5.128 Å, b = 5.128 Å, c = 4.326 Å
α = 90.00°, β = 90.00°, γ = 90.00°
Positions (direct):
1 Sr 0.500 0.500 0.500
2 As 0.000 0.000 0.500
3 Co 0.000 0.000 0.000
4 Se 0.000 0.500 0.000
5 Se 0.500 0.000 0.000

* final energy: -4.646 eV per atom
* crystal system: tetragonal
* formation energy from raw total energies: -565 meV/atom
* DOS(E_F): 4.70 states/eV/cell
* calculated volume: 114 Å³/cell

***

Entry 11:
Material: InP2Au
Method: DFT, GGA-PBE
State: relaxed

a = 7.153 Å, b = 7.153 Å, c = 7.153 Å
α = 154.23°, β = 148.97°, γ = 40.76°
Positions (direct):
1 Au 0.540 0.540 0.000
2 In 0.197 0.697 0.500
3 P 0.939 0.939 0.000
4 P 0.824 0.324 0.500

* final energy: -4.039 eV per atom
* crystal system: orthorhombic
* DOS(E_F): 1.36 states/eV/cell
* energy of formation: 0.169 eV per atom
* calculated volume: 82 Å³/cell

***

Entry 12:
Material: AcCrBr2
Method: DFT, GGA-PBE
State: relaxed

a = 4.157 Å, b = 4.157 Å, c = 9.416 Å
α = 77.25°, β = 77.25°, γ = 60.00°
Positions (direct):
1 Cr 0.500 0.500 0.500
2 Ac 0.000 0.000 0.000
3 Br 0.113 0.113 0.661
4 Br 0.887 0.887 0.339

* final energy: -4.703 eV per atom
* crystal system: trigonal
* formation energy from raw total energies: -433 meV/atom
* DOS(E_F): 3.78 states/eV/cell
* calculated volume: 136 Å³/cell